[1]
CrReW2 after structural relaxation. Source: the Alexandria database, functional PBE.

Cell: 5.134 5.134 5.134 Å, 144.84 129.43 63.09°
Fractional coordinates of all 4 atoms:
Cr (0.000, 0.000, 0.000)
Re (0.252, 0.752, 0.500)
W (0.505, 0.505, 0.000)
W (0.757, 0.257, 0.500)

Calculated values
- electronic total energy (Ha/atom) = -0.4386
- formation energy from the elements (eV/atom) = 0.06
- relative energy among the computed polymorphs (meV/atom) = 31

[2]
Cu2Pb3Br8 after structural relaxation. Source: the Alexandria database, functional PBE.

Cell: 8.714 8.714 7.522 Å, 106.61 106.61 59.98°
Fractional coordinates of all 13 atoms:
Cu (0.096, 0.096, 0.066)
Cu (0.904, 0.904, 0.934)
Pb (0.241, 0.759, 0.500)
Pb (0.500, 0.500, 0.000)
Pb (0.759, 0.241, 0.500)
Br (0.118, 0.643, 0.762)
Br (0.123, 0.123, 0.768)
Br (0.357, 0.882, 0.238)
Br (0.381, 0.381, 0.261)
Br (0.619, 0.619, 0.739)
Br (0.643, 0.118, 0.762)
Br (0.877, 0.877, 0.232)
Br (0.882, 0.357, 0.238)

Calculated values
- electronic total energy (Ha/atom) = -0.1182
- formation energy without anion corrections (eV/atom) = -0.702

[3]
Ir3OsAu after structural relaxation. Source: the Alexandria database, functional PBE.

Cell: 4.725 4.725 4.725 Å, 90.00 90.00 90.00°
Fractional coordinates of all 5 atoms:
Ir (0.000, 0.000, 0.500)
Ir (0.000, 0.500, 0.000)
Ir (0.500, 0.000, 0.000)
Os (0.000, 0.000, 0.000)
Au (0.500, 0.500, 0.500)

Calculated values
- electronic total energy (Ha/atom) = -0.2351
- formation energy from the elements (eV/atom) = 1.82
- relative energy among the computed polymorphs (meV/atom) = 0

[4]
CsScFeMo2 after structural relaxation. Source: the Alexandria database, functional PBE.

Cell: 4.602 4.602 5.250 Å, 90.00 90.00 90.00°
Fractional coordinates of all 5 atoms:
Cs (0.000, 0.000, 0.000)
Sc (0.500, 0.500, 0.000)
Fe (0.000, 0.000, 0.500)
Mo (0.000, 0.500, 0.500)
Mo (0.500, 0.000, 0.500)

Calculated values
- electronic total energy (Ha/atom) = -0.2142
- formation energy from the elements (eV/atom) = 1.63

[5]
SrCrRe2 after structural relaxation. Source: the Alexandria database, functional PBE.

Cell: 9.517 9.517 9.517 Å, 18.07 18.07 18.07°
Fractional coordinates of all 4 atoms:
Sr (0.000, 0.000, 0.000)
Cr (0.767, 0.767, 0.767)
Re (0.236, 0.236, 0.236)
Re (0.495, 0.495, 0.495)

Calculated values
- electronic total energy (Ha/atom) = -0.2976
- formation energy from the elements (eV/atom) = 0.95
- relative energy among the computed polymorphs (meV/atom) = 331

[6]
KBa2YPd after structural relaxation. Source: the Alexandria database, functional PBE.

Cell: 6.501 6.501 5.585 Å, 90.00 90.00 90.00°
Fractional coordinates of all 5 atoms:
K (0.000, 0.000, 0.000)
Ba (0.000, 0.500, 0.500)
Ba (0.500, 0.000, 0.500)
Y (0.500, 0.500, 0.000)
Pd (0.500, 0.500, 0.500)

Calculated values
- electronic total energy (Ha/atom) = -0.1264
- formation energy from the elements (eV/atom) = -0.12